1.
Material: LiMgCuPt2
Method: DFT, PBE-GGA
State: relaxed

Summary:
**Spin magnetization**: 0.0 μB per formula unit
**VASP energy**: -19.72 eV per cell

a b c (Å): 4.3150 4.0590 4.3150
angles (deg): 90.00 90.00 90.00
With the nearest neighbours (Å) after each atom.
Fractional positions:
Mg 0.5000 0.5000 0.5000  8 Pt 2.96, 4 Cu 3.05
Cu 0.0000 0.5000 0.0000  2 Li 2.03
Pt 0.5000 0.0000 0.0000  2 Li 2.16
Pt 0.0000 0.0000 0.5000  2 Li 2.16
Li 0.0000 0.0000 0.0000  2 Cu 2.03, 4 Pt 2.16

2.
Material: Zn3BiPb
Method: DFT, PBE-GGA
State: relaxed

Summary:
**Spin magnetization**: 0.0 μB per formula unit
**Offset from the most stable computed form**: 0 meV/atom

a b c (Å): 5.3957 5.3957 5.3957
angles (deg): 90.00 90.00 90.00
With the nearest neighbours (Å) after each atom.
Fractional positions:
Pb 0.5000 0.5000 0.5000  12 Zn 3.82
Bi 0.0000 0.0000 0.0000  6 Zn 2.70
Zn 0.0000 0.0000 0.5000  2 Bi 2.70
Zn 0.5000 0.0000 0.0000  2 Bi 2.70
Zn 0.0000 0.5000 0.0000  2 Bi 2.70

3.
Material: CePa2Si2Ru5
Method: DFT, PBE-GGA
State: relaxed

Summary:
**Spin magnetization**: 0.0 μB per formula unit
**E_form (uncorrected)**: -54.2 kJ per mole of atoms

a b c (Å): 3.5420 9.9969 9.9969
angles (deg): 90.00 90.00 90.00
With the nearest neighbours (Å) after each atom.
Fractional positions:
Si 0.0000 0.1241 0.6241  6 Ru 2.43-2.49
Si 0.0000 0.3759 0.1241  6 Ru 2.43-2.49
Ru 0.5000 0.5718 0.7183  2 Si 2.43
Ru 0.5000 0.7817 0.9282  2 Si 2.43
Ru 0.5000 0.4282 0.2817  2 Si 2.43
Ce 0.0000 0.0000 0.0000  8 Ru 2.90
Ru 0.5000 0.9282 0.2183  2 Si 2.43
Pa 0.0000 0.6716 0.1716  3 Si 2.89-2.99, 10 Ru 3.00-3.20
Ru 0.5000 0.2817 0.5718  2 Si 2.43
Pa 0.0000 0.1716 0.3284  3 Si 2.89-2.99, 10 Ru 3.00-3.20
Pa 0.0000 0.8284 0.6716  3 Si 2.89-2.99, 10 Ru 3.00-3.20
Pa 0.0000 0.3284 0.8284  3 Si 2.89-2.99, 10 Ru 3.00-3.20
Si 0.0000 0.6241 0.8759  6 Ru 2.43-2.49
Ru 0.5000 0.5000 0.0000  4 Si 2.49
Ru 0.5000 0.0000 0.5000  4 Si 2.49
Ce 0.0000 0.5000 0.5000  8 Ru 2.90
Ru 0.5000 0.7183 0.4282  2 Si 2.43
Ru 0.5000 0.2183 0.0718  2 Si 2.43
Ru 0.5000 0.0718 0.7817  2 Si 2.43
Si 0.0000 0.8759 0.3759  6 Ru 2.43-2.49

4.
Material: TiPb2F2
Method: DFT, PBE-GGA
State: relaxed

Summary:
**Spin magnetization**: 1.7 μB per formula unit
**E_form (uncorrected)**: -72.5 kJ per mole of atoms
**Offset from the most stable computed form**: 58 meV/atom

a b c (Å): 8.2529 8.2529 3.1644
angles (deg): 90.00 90.00 90.00
With the nearest neighbours (Å) after each atom.
Fractional positions:
Pb 0.7190 0.2190 0.0000  2 F 2.43
F 0.8768 0.3768 0.5000  2 Pb 2.43
Pb 0.2190 0.2810 0.0000  2 F 2.43
Pb 0.2810 0.7810 0.0000  2 F 2.43
F 0.1232 0.6232 0.5000  2 Pb 2.43
Ti 0.0000 0.0000 0.0000  4 Pb 2.94, 2 Ti 3.16
F 0.6232 0.8768 0.5000  2 Pb 2.43
Pb 0.7810 0.7190 0.0000  2 F 2.43
Ti 0.5000 0.5000 0.0000  4 Pb 2.94, 2 Ti 3.16
F 0.3768 0.1232 0.5000  2 Pb 2.43

5.
Material: AcHfAu2
Method: DFT, PBE-GGA
State: relaxed

Summary:
**Spin magnetization**: 0.0 μB per formula unit
**Offset from the most stable computed form**: 24 meV/atom

a b c (Å): 3.5674 3.5674 7.5956
angles (deg): 90.00 90.00 90.00
With the nearest neighbours (Å) after each atom.
Fractional positions:
Au 0.0000 0.0000 0.8047  4 Hf 2.93, 1 Au 2.97
Au 0.0000 0.0000 0.1953  4 Hf 2.93, 1 Au 2.97
Ac 0.5000 0.5000 0.5000  8 Au 3.42, 4 Ac 3.57, 2 Hf 3.80
Hf 0.5000 0.5000 0.0000  8 Au 2.93

6.
Material: MgRu2PbO
Method: DFT, PBE-GGA
State: relaxed

Summary:
**Spin magnetization**: 4.9 μB per formula unit
**E_form (uncorrected)**: 190.4 kJ per mole of atoms

a b c (Å): 5.0696 5.4061 5.0696
angles (deg): 90.00 90.00 90.00
With the nearest neighbours (Å) after each atom.
Fractional positions:
Ru 0.0000 0.0000 0.5000  2 Pb 2.53
Mg 0.0000 0.5000 0.0000  2 Pb 2.70
Ru 0.5000 0.0000 0.0000  2 Pb 2.53
Pb 0.0000 0.0000 0.0000  4 Ru 2.53, 2 Mg 2.70
O 0.5000 0.5000 0.5000  4 Mg 3.58, 8 Ru 3.71

7.
Material: Na2LiCdI5
Method: DFT, PBE-GGA
State: relaxed

Summary:
**Spin magnetization**: 0.0 μB per formula unit
**E_form (uncorrected)**: -95.1 kJ per mole of atoms

a b c (Å): 4.4465 11.9424 14.6362
angles (deg): 90.00 90.00 100.73
With the nearest neighbours (Å) after each atom.
Fractional positions:
Na 0.8514 0.7028 0.8497  6 I 3.29-3.41
I 0.6950 0.3900 0.4982  1 Li 2.83
Li 0.1939 0.3877 0.0725  4 I 2.80-2.96
I 0.3060 0.6119 0.6888  2 Li 2.80, 1 Na 3.13
Na 0.1743 0.3486 0.6531  5 I 3.13-3.21
I 0.3412 0.6825 0.3051  1 Cd 2.80
I 0.3050 0.6100 0.9982  1 Li 2.83
Cd 0.5583 0.1166 0.9083  4 I 2.76-2.90
I 0.6940 0.3881 0.1888  2 Li 2.80, 1 Na 3.13
Na 0.8257 0.6514 0.1531  5 I 3.13-3.21
I 0.4563 0.9126 0.8145  1 Cd 2.76
Cd 0.4417 0.8834 0.4083  4 I 2.76-2.90
I 0.6588 0.3175 0.8051  1 Cd 2.80
Na 0.1486 0.2972 0.3497  6 I 3.29-3.41
I 0.0699 0.1399 0.0338  2 Cd 2.90, 1 Li 2.96
I 0.9301 0.8601 0.5338  2 Cd 2.90, 1 Li 2.96
I 0.5437 0.0874 0.3145  1 Cd 2.76
Li 0.8061 0.6123 0.5725  4 I 2.80-2.96

8.
Material: LiTmCoGe
Method: DFT, PBE-GGA
State: relaxed

Summary:
**Spin magnetization**: 0.6 μB per formula unit
**VASP energy**: -19.61 eV per cell

a b c (Å): 4.4132 4.4132 4.4132
angles (deg): 60.00 60.00 60.00
With the nearest neighbours (Å) after each atom.
Fractional positions:
Co 0.0000 0.0000 0.0000  4 Ge 2.70, 4 Tm 2.70
Tm 0.2500 0.2500 0.2500  4 Co 2.70, 4 Li 2.70
Li 0.5000 0.5000 0.5000  4 Ge 2.70, 4 Tm 2.70
Ge 0.7500 0.7500 0.7500  4 Co 2.70, 4 Li 2.70

9.
Material: Ti2MnCuSb
Method: DFT, PBE-GGA
State: relaxed

Summary:
**Spin magnetization**: 0.5 μB per formula unit
**E_form (uncorrected)**: 135.8 kJ per mole of atoms

a b c (Å): 5.0101 4.5658 5.0101
angles (deg): 90.00 90.00 90.00
With the nearest neighbours (Å) after each atom.
Fractional positions:
Ti 0.0000 0.0000 0.5000  2 Sb 2.51
Cu 0.0000 0.5000 0.0000  2 Sb 2.28
Mn 0.5000 0.5000 0.5000  8 Ti 3.39, 4 Cu 3.54
Sb 0.0000 0.0000 0.0000  2 Cu 2.28, 4 Ti 2.51
Ti 0.5000 0.0000 0.0000  2 Sb 2.51

10.
Material: Ho8Bi2Au
Method: DFT, PBE-GGA
State: relaxed

Summary:
**Spin magnetization**: 0.0 μB per formula unit
**VASP energy**: -52.05 eV per cell

a b c (Å): 5.1081 6.9067 9.4040
angles (deg): 87.26 105.76 90.00
With the nearest neighbours (Å) after each atom.
Fractional positions:
Ho 0.7875 0.6282 0.5749  3 Bi 3.21-3.58, 5 Ho 3.40-3.48
Ho 0.9716 0.7525 0.9433  2 Au 3.13, 1 Ho 3.48
Au 0.5000 0.0000 0.0000  6 Ho 2.90-3.13
Ho 0.5904 0.5677 0.1809  1 Au 3.33, 9 Ho 3.43-3.61, 2 Bi 3.45
Ho 0.0284 0.2475 0.0567  2 Au 3.13, 1 Ho 3.48
Ho 0.3454 0.9086 0.6908  1 Au 2.90, 2 Bi 3.14
Ho 0.6546 0.0914 0.3092  1 Au 2.90, 2 Bi 3.14
Bi 0.8327 0.1732 0.6654  6 Ho 3.14-3.45
Ho 0.4096 0.4323 0.8191  1 Au 3.33, 9 Ho 3.43-3.61, 2 Bi 3.45
Ho 0.2125 0.3718 0.4251  3 Bi 3.21-3.58, 5 Ho 3.40-3.48
Bi 0.1673 0.8268 0.3346  6 Ho 3.14-3.45

11.
Material: La12Nd6Y
Method: DFT, PBE-GGA
State: relaxed

Summary:
**Spin magnetization**: 0.0 μB per formula unit
**Offset from the most stable computed form**: 84 meV/atom

a b c (Å): 9.4159 9.4159 9.4159
angles (deg): 107.00 107.00 107.00
With the nearest neighbours (Å) after each atom.
Fractional positions:
La 0.1863 0.7131 0.8806  3 La 3.37-3.70, 3 Nd 3.41-3.62, 1 Y 3.71
La 0.4215 0.5175 0.8059  3 Nd 3.35-3.60, 6 La 3.37-3.70
Nd 0.4422 0.0854 0.1922  6 La 3.35-3.62, 1 Y 3.75
La 0.8806 0.1863 0.7131  3 La 3.37-3.70, 3 Nd 3.41-3.62, 1 Y 3.71
Nd 0.5578 0.9146 0.8078  6 La 3.35-3.62, 1 Y 3.75
La 0.1194 0.8137 0.2869  3 La 3.37-3.70, 3 Nd 3.41-3.62, 1 Y 3.71
La 0.7131 0.8806 0.1863  3 La 3.37-3.70, 3 Nd 3.41-3.62, 1 Y 3.71
La 0.1941 0.5785 0.4825  3 Nd 3.35-3.60, 6 La 3.37-3.70
La 0.4825 0.1941 0.5785  3 Nd 3.35-3.60, 6 La 3.37-3.70
Nd 0.0854 0.1922 0.4422  6 La 3.35-3.62, 1 Y 3.75
Nd 0.8078 0.5578 0.9146  6 La 3.35-3.62, 1 Y 3.75
La 0.8137 0.2869 0.1194  3 La 3.37-3.70, 3 Nd 3.41-3.62, 1 Y 3.71
La 0.8059 0.4215 0.5175  3 Nd 3.35-3.60, 6 La 3.37-3.70
Y 0.0000 0.0000 0.0000  6 La 3.71, 6 Nd 3.75
La 0.5175 0.8059 0.4215  3 Nd 3.35-3.60, 6 La 3.37-3.70
La 0.2869 0.1194 0.8137  3 La 3.37-3.70, 3 Nd 3.41-3.62, 1 Y 3.71
Nd 0.9146 0.8078 0.5578  6 La 3.35-3.62, 1 Y 3.75
La 0.5785 0.4825 0.1941  3 Nd 3.35-3.60, 6 La 3.37-3.70
Nd 0.1922 0.4422 0.0854  6 La 3.35-3.62, 1 Y 3.75

12.
Material: LaSmSb
Method: DFT, PBE-GGA
State: relaxed

Summary:
**Spin magnetization**: 1.0 μB per formula unit
**E_form (uncorrected)**: -81.1 kJ per mole of atoms

a b c (Å): 4.6075 10.1841 8.1880
angles (deg): 90.00 90.00 90.00
With the nearest neighbours (Å) after each atom.
Fractional positions:
La 0.2500 0.3280 0.9478  5 Sb 3.34-3.51, 2 Sm 3.64
Sb 0.2500 0.8626 0.2596  4 Sm 3.21-3.33, 5 La 3.34-3.51
Sm 0.7500 0.4428 0.6341  4 Sb 3.21-3.33, 2 Sm 3.39
La 0.7500 0.8280 0.5522  5 Sb 3.34-3.51, 2 Sm 3.64
Sb 0.7500 0.1374 0.7404  4 Sm 3.21-3.33, 5 La 3.34-3.51
La 0.2500 0.1720 0.4478  5 Sb 3.34-3.51, 2 Sm 3.64
La 0.7500 0.6720 0.0522  5 Sb 3.34-3.51, 2 Sm 3.64
Sb 0.7500 0.3626 0.2404  4 Sm 3.21-3.33, 5 La 3.34-3.51
Sm 0.2500 0.9428 0.8659  4 Sb 3.21-3.33, 2 Sm 3.39
Sb 0.2500 0.6374 0.7596  4 Sm 3.21-3.33, 5 La 3.34-3.51
Sm 0.7500 0.0572 0.1341  4 Sb 3.21-3.33, 2 Sm 3.39
Sm 0.2500 0.5572 0.3659  4 Sb 3.21-3.33, 2 Sm 3.39